(1)
Density functional theory data (PBE) for crystalline Y4ErGa2 at its relaxed geometry.

Cell and atoms, written as POSCAR:
```
Y4ErGa2
1.0
4.939 0.000 0.000
2.469 4.277 0.000
2.469 1.426 9.932
Y Er Ga
4 1 2
Cartesian
7.408 4.277 8.872
7.408 4.277 3.090
2.469 1.426 1.059
2.469 1.426 6.841
4.939 2.851 4.966
4.939 2.851 2.004
4.939 2.851 7.928
```

Energy relative to the elements (kJ per mole of atoms): -12
V (A^3/atom): 29.972

***

(2)
Density functional theory data (PBE) for crystalline Nd5As4H at its relaxed geometry.

Cell and atoms, written as POSCAR:
```
Nd5As4H
1.0
-3.291 -1.607 -4.727
3.849 -3.002 -5.441
-2.556 -6.841 0.323
Nd As H
5 4 1
Cartesian
-3.403 -8.132 -6.210
0.558 -6.917 -5.599
-2.554 -4.533 -4.243
1.408 -3.318 -3.631
-1.524 -0.744 -2.189
-1.836 -7.318 -3.795
-1.081 -7.810 -7.936
-0.914 -3.639 -1.906
-0.159 -4.132 -6.046
-0.167 -0.081 -0.239
```

E_tot (eV per atom): -5.828
V (A^3/atom): 26.610

***

(3)
Density functional theory data (PBE) for crystalline In2CuAu9 at its relaxed geometry.

Cell and atoms, written as POSCAR:
```
In2CuAu9
1.0
4.328 0.000 0.000
0.000 4.328 0.000
0.000 0.000 11.742
In Cu Au
2 1 9
Cartesian
0.000 0.000 3.812
0.000 0.000 7.930
0.000 0.000 0.000
2.164 2.164 0.000
2.164 2.164 3.832
2.164 2.164 7.910
2.164 0.000 1.812
2.164 0.000 5.871
2.164 0.000 9.930
0.000 2.164 1.812
0.000 2.164 5.871
0.000 2.164 9.930
```

Energy relative to the elements (kJ per mole of atoms): -6
V (A^3/atom): 18.325

***

> Among the records above, which one has the highest V?

Y4ErGa2

***

What did the first record say?
Density functional theory data (PBE) for crystalline Y4ErGa2 at its relaxed geometry.

Cell and atoms, written as POSCAR:
```
Y4ErGa2
1.0
4.939 0.000 0.000
2.469 4.277 0.000
2.469 1.426 9.932
Y Er Ga
4 1 2
Cartesian
7.408 4.277 8.872
7.408 4.277 3.090
2.469 1.426 1.059
2.469 1.426 6.841
4.939 2.851 4.966
4.939 2.851 2.004
4.939 2.851 7.928
```

Energy relative to the elements (kJ per mole of atoms): -12
V (A^3/atom): 29.972

***

> Look up the V of the second one.

26.610 A^3/atom